Material: Pu2HRh6
Method: DFT, PBE-GGA
State: relaxed

Computed properties:
Space-group type: Fm-3m (225)
DFT total energy: -8.836 eV per atom
Polymorph energy (0 for the lowest one): 0.0 meV/atom
Density: 13.67 Mg/m³

```
Pu2HRh6
1.0
-1.1021 3.4564 4.4606
-4.4211 -1.1381 3.4952
0.9723 -1.8294 5.3633
Rh Pu H
6 2 1
Cartesian
-2.8665 -1.3741 7.7675 Rh
-3.9120 1.2894 7.3133 Rh
-0.6388 -0.8004 6.0057 Rh
-1.6843 1.8630 5.5516 Rh
-1.1941 0.9410 8.2540 Rh
-3.3568 -0.4521 5.0651 Rh
-1.1377 0.1224 3.3293 Pu
-3.4131 0.3666 9.9898 Pu
-2.2754 0.2445 6.6595 H
```